1.
A plane-wave DFT calculation with PBE was carried out for a relaxed structure of Pm2Ni4Sn3Pd.

Structure (extended XYZ):
```
10
Lattice="4.205 0.000 0.000 0.000 4.205 0.000 0.000 0.000 10.918" Properties=species:S:1:pos:R:3 pbc="T T T"
Pm 0.000 2.103 2.628
Pm 2.103 0.000 8.289
Ni 0.000 0.000 5.459
Ni 0.000 2.103 9.388
Ni 2.103 0.000 1.530
Ni 2.103 2.103 5.459
Sn 0.000 0.000 0.000
Sn 0.000 2.103 6.871
Sn 2.103 0.000 4.047
Pd 2.103 2.103 0.000
```

Formation energy from the elements (eV per atom): -0.492
M_tot (μB per formula unit): 0.0


2.
A plane-wave DFT calculation with PBE was carried out for a relaxed structure of LaTc2Se.

Structure (extended XYZ):
```
4
Lattice="1.576 0.910 8.819 -1.576 0.910 8.819 0.000 -1.820 8.819" Properties=species:S:1:pos:R:3 pbc="T T T"
La 0.000 0.000 0.000
Tc 0.000 0.000 6.193
Tc 0.000 0.000 20.265
Se 0.000 0.000 13.229
```

M_tot (μB per formula unit): 0.0
ΔE_f (raw) (kJ per mole of atoms): 50.1


3.
A plane-wave DFT calculation with PBE was carried out for a relaxed structure of LaAgAs2Pd5.

Structure (extended XYZ):
```
9
Lattice="4.673 0.000 0.000 0.000 4.673 0.000 0.000 0.000 7.834" Properties=species:S:1:pos:R:3 pbc="T T T"
La 0.000 0.000 0.000
Ag 0.000 0.000 3.917
As 2.337 2.337 2.657
As 2.337 2.337 5.176
Pd 0.000 2.337 1.903
Pd 0.000 2.337 5.931
Pd 2.337 0.000 1.903
Pd 2.337 0.000 5.931
Pd 2.337 2.337 0.000
```

Formation energy from the elements (eV per atom): -0.454
M_tot (μB per formula unit): 0.0


4.
A plane-wave DFT calculation with PBE was carried out for a relaxed structure of TmNi3Ge2.

Structure (extended XYZ):
```
18
Lattice="7.805 -1.912 0.000 7.805 1.912 0.000 -2.807 0.000 8.961" Properties=species:S:1:pos:R:3 pbc="T T T"
Tm 0.000 0.000 0.000
Tm 0.489 0.000 6.289
Tm 12.314 0.000 2.672
Ni -0.259 0.000 3.057
Ni 2.244 0.000 3.508
Ni 4.926 0.000 0.273
Ni 3.671 0.000 7.163
Ni 6.402 0.000 4.481
Ni 9.132 0.000 1.798
Ni 7.877 0.000 8.688
Ni 10.559 0.000 5.453
Ni 13.062 0.000 5.904
Ge 2.725 0.000 1.175
Ge 4.101 0.000 4.859
Ge 6.622 0.000 1.971
Ge 6.181 0.000 6.990
Ge 8.702 0.000 4.103
Ge 10.078 0.000 7.786
```

Formation energy from the elements (eV per atom): -0.613
M_tot (μB per formula unit): 0.0


5.
A plane-wave DFT calculation with PBE was carried out for a relaxed structure of CaSm2Th.

Structure (extended XYZ):
```
4
Lattice="3.669 0.000 0.000 0.000 3.669 0.000 0.000 0.000 10.471" Properties=species:S:1:pos:R:3 pbc="T T T"
Ca 0.000 0.000 0.000
Sm 1.835 1.835 2.865
Sm 1.835 1.835 7.606
Th 0.000 0.000 5.236
```

Formation energy from the elements (eV per atom): 0.039
M_tot (μB per formula unit): 0.0